Entry 1:
The following is a PBE calculation of an optimized crystal structure of ScPd2Au, from OQMD.

Cell: 4.1122 4.1122 3.9184 Å, 90.00 90.00 90.00°
Closest atoms and distances in Å follow each position.
Space group P4/mmm (No. 123)
Inequivalent atoms, fractional coordinates:
Sc1 0.0000 0.0000 0.0000 (multiplicity 1)  8 Pd 2.84, 4 Au 2.91
Pd1 0.0000 0.5000 0.5000 (multiplicity 2)  4 Au 2.84, 4 Sc 2.84, 4 Pd 2.91
Au1 0.5000 0.5000 0.0000 (multiplicity 1)  8 Pd 2.84, 4 Sc 2.91

- Distance to the lowest polymorph of the same formula: 0 meV per atom
- Calculated formation energy: -841 meV/atom

Entry 2:
The following is a PBE calculation of an optimized crystal structure of LiTaNiGe, from OQMD.

Cell: 5.9887 5.9887 5.9887 Å, 90.00 90.00 90.00°
Closest atoms and distances in Å follow each position.
Space group F-43m (No. 216)
Inequivalent atoms, fractional coordinates:
Li1 0.0000 0.0000 0.0000 (multiplicity 4)  4 Ge 2.59, 4 Ta 2.59
Ta1 0.2500 0.2500 0.7500 (multiplicity 4)  4 Li 2.59, 4 Ni 2.59
Ni1 0.0000 0.0000 0.5000 (multiplicity 4)  4 Ge 2.59, 4 Ta 2.59
Ge1 0.2500 0.2500 0.2500 (multiplicity 4)  4 Li 2.59, 4 Ni 2.59

- Distance to the lowest polymorph of the same formula: 0 meV per atom

Entry 3:
The following is a PBE calculation of an optimized crystal structure of AcLuNO, from OQMD.

Cell: 4.0275 6.9530 5.6300 Å, 90.00 90.00 90.00°
Closest atoms and distances in Å follow each position.
Space group Pmc2_1 (No. 26)
Inequivalent atoms, fractional coordinates:
Ac1 0.0000 0.1702 0.0000 (multiplicity 2)  2 N 2.50, 2 O 2.67-2.72
Lu1 0.5000 0.3344 0.5196 (multiplicity 2)  2 N 2.16-2.18, 2 O 2.19
N1 0.5000 0.3690 0.9044 (multiplicity 2)  2 Lu 2.16-2.18
O1 0.0000 0.2130 0.4805 (multiplicity 2)  2 Lu 2.19

- Distance to the lowest polymorph of the same formula: 27 meV per atom

Entry 4:
The following is a PBE calculation of an optimized crystal structure of ZrGeB4, from OQMD.

Cell: 3.1228 3.1228 7.4768 Å, 90.00 90.00 120.00°
Closest atoms and distances in Å follow each position.
Space group P6/mmm (No. 191)
Inequivalent atoms, fractional coordinates:
Zr1 0.0000 0.0000 0.0000 (multiplicity 1)  12 B 2.54
Ge1 0.0000 0.0000 0.5000 (multiplicity 1)  12 B 2.66
B1 0.3333 0.6667 0.2392 (multiplicity 4)  3 B 1.80

- Distance to the lowest polymorph of the same formula: 0 meV per atom

Entry 5:
The following is a PBE calculation of an optimized crystal structure of TaSnSb, from OQMD.

Cell: 6.7938 6.7938 6.7938 Å, 90.00 90.00 90.00°
Closest atoms and distances in Å follow each position.
Space group F-43m (No. 216)
Inequivalent atoms, fractional coordinates:
Ta1 0.0000 0.0000 0.0000 (multiplicity 4)  4 Sb 2.94
Sn1 0.0000 0.0000 0.5000 (multiplicity 4)  4 Sb 2.94
Sb1 0.2500 0.2500 0.2500 (multiplicity 4)  4 Ta 2.94, 4 Sn 2.94

- Calculated total energy: -5.80 eV/atom

Entry 6:
The following is a PBE calculation of an optimized crystal structure of Y2ZrTl, from OQMD.

Cell: 7.4654 7.4654 7.4654 Å, 90.00 90.00 90.00°
Closest atoms and distances in Å follow each position.
Space group F-43m (No. 216)
Inequivalent atoms, fractional coordinates:
Y1 0.0000 0.0000 0.0000 (multiplicity 4)  4 Y 3.23, 4 Zr 3.23
Y2 0.2500 0.2500 0.2500 (multiplicity 4)  4 Tl 3.23, 4 Y 3.23
Zr1 0.2500 0.2500 0.7500 (multiplicity 4)  4 Tl 3.23, 4 Y 3.23
Tl1 0.0000 0.0000 0.5000 (multiplicity 4)  4 Zr 3.23, 4 Y 3.23

- Calculated total energy: -5.88 eV/atom